{"formula": "AlRhCl2", "functional": "PBE", "state": "optimized geometry", "formation_energy_uncorrected_ev_per_atom": -0.54, "total_energy_ev_per_atom": -4.238, "crystal_system": "monoclinic", "polymorph_energy_mev_per_atom": 52.6, "sg": "Pm", "cell": [[3.3103, 0.0000, 0.0000], [0.0000, 3.5016, 0.3270], [0.0000, 2.6524, 7.4682]], "species": ["Rh", "Al", "Cl", "Cl"], "frac_coords": [[0.0000, 0.5174, 0.5793], [0.5000, 0.9244, 0.6765], [0.5000, 0.0881, 0.3418], [0.0000, 0.9701, 0.9024]]}

***

{"formula": "SrMg2", "functional": "PBE", "state": "optimized geometry", "total_energy_ev_per_atom": -1.609, "crystal_system": "monoclinic", "sg": "C2/m", "cell": [[-1.9310, -1.7387, 6.0899], [0.2193, -4.7168, 4.6414], [6.0528, 1.7584, 5.3701]], "species": ["Sr", "Sr", "Mg", "Mg", "Mg", "Mg"], "frac_coords": [[0.8424, 0.8424, 0.1154], [0.1576, 0.1576, 0.8846], [0.4728, 0.4728, 0.7176], [0.1496, 0.1496, 0.4593], [0.5272, 0.5272, 0.2824], [0.8504, 0.8504, 0.5407]]}